Record 1
First-principles (meta-GGA SCAN) data for a PBEsol-optimized structure of Hg2IrOs, as listed in Alexandria.

E_form, eV per atom: 0.85
ΔE to the lowest computed polymorph, eV/atom: 0.000
ρ, g/cm³: 19.40
Fermi-level density of states, states/eV/atom: 0.6495
Magnetic moment, μB per formula unit: 0.00
Crystal system: orthorhombic

a b c (Å): 5.5797 5.5797 5.5797
angles (deg): 150.62 127.48 61.33
Closest atoms and distances in Å follow each position.
Positions (direct):
Hg 0.2487 0.2487 0.0000  2 Ir 2.77, 2 Os 2.80, 6 Hg 2.83-2.85
Hg 0.7513 0.7513 0.0000  2 Ir 2.77, 2 Os 2.80, 6 Hg 2.83-2.85
Ir 0.0000 0.5000 0.5000  4 Hg 2.77, 2 Ir 2.83, 4 Os 2.85
Os 0.5000 0.0000 0.5000  4 Hg 2.80, 2 Os 2.83, 4 Ir 2.85

=====

Record 2
First-principles (meta-GGA SCAN) data for a PBEsol-optimized structure of LaRe2P, as listed in Alexandria.

E_form, eV per atom: 0.28
ρ, g/cm³: 12.99
Fermi-level density of states, states/eV/atom: 1.0524
Magnetic moment, μB per formula unit: 0.00
Crystal system: trigonal

a b c (Å): 9.2815 9.2815 9.2815
angles (deg): 18.36 18.36 18.36
Closest atoms and distances in Å follow each position.
Positions (direct):
La 0.0000 0.0000 0.0000  6 La 2.96, 3 P 3.17, 3 Re 3.19
Re 0.2351 0.2351 0.2351  9 Re 2.69-2.96
Re 0.4924 0.4924 0.4924  3 P 2.40
P 0.7643 0.7643 0.7643  3 Re 2.40